The following is a DFT calculation (PBE with a Hubbard U) of an optimized crystal structure of FeSO2.

Cell: 5.3563 5.3563 5.4983 Å, 60.85 60.85 90.00°
Closest atoms and distances in Å follow each position.
Sites, in units of the cell vectors:
S1 0.5000 0.5000 0.0000  4 O 2.63
S2 0.2500 0.7500 0.5000  4 O 2.63
Fe1 0.0000 0.0000 0.0000  4 O 1.79
Fe2 0.7500 0.2500 0.5000  4 O 1.79
O1 0.7555 0.1250 0.2500  2 Fe 1.79
O2 0.9945 0.6250 0.2500  2 Fe 1.79
O3 0.3750 0.2445 0.7500  2 Fe 1.79
O4 0.8750 0.0055 0.7500  2 Fe 1.79

Summary:
total magnetization = 0.2 μB per cell
total DFT energy (no corrections) = -0.31844 Ry/atom